! Pr2TiSn4Pd3 GGA-PBE optimized geometry; values from VASP
&SYSTEM
  ibrav = 0, nat = 10, ntyp = 4
/
ATOMIC_SPECIES
Pr 140.91 Pr.upf
Ti 47.87 Ti.upf
Sn 118.71 Sn.upf
Pd 106.42 Pd.upf
CELL_PARAMETERS angstrom
4.4418 0.0000 0.0000
0.0000 4.4418 0.0000
0.0000 0.0000 11.6831
ATOMIC_POSITIONS crystal
Pr 0.0000 0.5000 0.2475
Pr 0.5000 0.0000 0.7525
Ti 0.0000 0.0000 0.5000
Sn 0.0000 0.0000 0.0000
Sn 0.0000 0.5000 0.6393
Sn 0.5000 0.0000 0.3607
Sn 0.5000 0.5000 0.0000
Pd 0.0000 0.5000 0.8657
Pd 0.5000 0.0000 0.1343
Pd 0.5000 0.5000 0.5000
! DFT formation energy   -0.690 eV/atom


! PrTlSnPd GGA-PBE optimized geometry; values from VASP
&SYSTEM
  ibrav = 0, nat = 4, ntyp = 4
/
ATOMIC_SPECIES
Pr 140.91 Pr.upf
Tl 204.38 Tl.upf
Sn 118.71 Sn.upf
Pd 106.42 Pd.upf
CELL_PARAMETERS angstrom
0.0000 3.6604 3.6604
3.6604 0.0000 3.6604
3.6604 3.6604 0.0000
ATOMIC_POSITIONS crystal
Pr 0.0000 0.0000 0.0000
Tl 0.7500 0.7500 0.7500
Sn 0.5000 0.5000 0.5000
Pd 0.2500 0.2500 0.2500
! DFT formation energy   -0.459 eV/atom


! Pr2TlSn3Pd4 GGA-PBE optimized geometry; values from VASP
&SYSTEM
  ibrav = 0, nat = 10, ntyp = 4
/
ATOMIC_SPECIES
Pr 140.91 Pr.upf
Tl 204.38 Tl.upf
Sn 118.71 Sn.upf
Pd 106.42 Pd.upf
CELL_PARAMETERS angstrom
4.5862 0.0000 0.0000
0.0000 4.5862 0.0000
0.0000 0.0000 10.9688
ATOMIC_POSITIONS crystal
Pr 0.0000 0.5000 0.2414
Pr 0.5000 0.0000 0.7586
Tl 0.0000 0.0000 0.5000
Sn 0.0000 0.5000 0.8752
Sn 0.5000 0.0000 0.1248
Sn 0.5000 0.5000 0.5000
Pd 0.0000 0.0000 0.0000
Pd 0.0000 0.5000 0.6395
Pd 0.5000 0.0000 0.3605
Pd 0.5000 0.5000 0.0000
! DFT formation energy   -0.691 eV/atom


! Pr2TmSn3Pd4 GGA-PBE optimized geometry; values from VASP
&SYSTEM
  ibrav = 0, nat = 10, ntyp = 4
/
ATOMIC_SPECIES
Pr 140.91 Pr.upf
Tm 168.93 Tm.upf
Sn 118.71 Sn.upf
Pd 106.42 Pd.upf
CELL_PARAMETERS angstrom
4.6050 0.0000 0.0000
0.0000 4.6050 0.0000
0.0000 0.0000 11.0421
ATOMIC_POSITIONS crystal
Pr 0.0000 0.5000 0.2250
Pr 0.5000 0.0000 0.7750
Tm 0.0000 0.0000 0.5000
Sn 0.0000 0.5000 0.8748
Sn 0.5000 0.0000 0.1252
Sn 0.5000 0.5000 0.5000
Pd 0.0000 0.0000 0.0000
Pd 0.0000 0.5000 0.6396
Pd 0.5000 0.0000 0.3604
Pd 0.5000 0.5000 0.0000
! DFT formation energy   -0.819 eV/atom


! PrTmSnPd GGA-PBE optimized geometry; values from VASP
&SYSTEM
  ibrav = 0, nat = 4, ntyp = 4
/
ATOMIC_SPECIES
Pr 140.91 Pr.upf
Tm 168.93 Tm.upf
Sn 118.71 Sn.upf
Pd 106.42 Pd.upf
CELL_PARAMETERS angstrom
0.0000 3.7030 3.7030
3.7030 0.0000 3.7030
3.7030 3.7030 0.0000
ATOMIC_POSITIONS crystal
Pr 0.0000 0.0000 0.0000
Tm 0.5000 0.5000 0.5000
Sn 0.2500 0.2500 0.2500
Pd 0.7500 0.7500 0.7500
! DFT formation energy   -0.686 eV/atom


! PrYSnPd GGA-PBE optimized geometry; values from VASP
&SYSTEM
  ibrav = 0, nat = 4, ntyp = 4
/
ATOMIC_SPECIES
Pr 140.91 Pr.upf
Y 88.91 Y.upf
Sn 118.71 Sn.upf
Pd 106.42 Pd.upf
CELL_PARAMETERS angstrom
0.0000 3.7278 3.7278
3.7278 0.0000 3.7278
3.7278 3.7278 0.0000
ATOMIC_POSITIONS crystal
Pr 0.0000 0.0000 0.0000
Y 0.5000 0.5000 0.5000
Sn 0.7500 0.7500 0.7500
Pd 0.2500 0.2500 0.2500
! DFT formation energy   -0.704 eV/atom


! Pr2ZnSn3Pd4 GGA-PBE optimized geometry; values from VASP
&SYSTEM
  ibrav = 0, nat = 10, ntyp = 4
/
ATOMIC_SPECIES
Pr 140.91 Pr.upf
Zn 65.41 Zn.upf
Sn 118.71 Sn.upf
Pd 106.42 Pd.upf
CELL_PARAMETERS angstrom
4.5553 0.0000 0.0000
0.0000 4.5553 0.0000
0.0000 0.0000 10.6202
ATOMIC_POSITIONS crystal
Pr 0.0000 0.5000 0.2493
Pr 0.5000 0.0000 0.7507
Zn 0.5000 0.5000 0.0000
Sn 0.0000 0.0000 0.0000
Sn 0.0000 0.5000 0.6320
Sn 0.5000 0.0000 0.3680
Pd 0.0000 0.0000 0.5000
Pd 0.0000 0.5000 0.8767
Pd 0.5000 0.0000 0.1233
Pd 0.5000 0.5000 0.5000
! DFT formation energy   -0.745 eV/atom


! Pr2ZnSn4Pd3 GGA-PBE optimized geometry; values from VASP
&SYSTEM
  ibrav = 0, nat = 10, ntyp = 4
/
ATOMIC_SPECIES
Pr 140.91 Pr.upf
Zn 65.41 Zn.upf
Sn 118.71 Sn.upf
Pd 106.42 Pd.upf
CELL_PARAMETERS angstrom
4.4775 0.0000 0.0000
0.0000 4.4775 0.0000
0.0000 0.0000 11.3674
ATOMIC_POSITIONS crystal
Pr 0.0000 0.5000 0.2435
Pr 0.5000 0.0000 0.7565
Zn 0.5000 0.5000 0.0000
Sn 0.0000 0.0000 0.5000
Sn 0.0000 0.5000 0.8651
Sn 0.5000 0.0000 0.1349
Sn 0.5000 0.5000 0.5000
Pd 0.0000 0.0000 0.0000
Pd 0.0000 0.5000 0.6347
Pd 0.5000 0.0000 0.3653
! DFT formation energy   -0.701 eV/atom


! Pr2ZnSnPd6 GGA-PBE optimized geometry; values from VASP
&SYSTEM
  ibrav = 0, nat = 10, ntyp = 4
/
ATOMIC_SPECIES
Pr 140.91 Pr.upf
Zn 65.41 Zn.upf
Sn 118.71 Sn.upf
Pd 106.42 Pd.upf
CELL_PARAMETERS angstrom
5.5759 0.0000 0.0000
2.7817 5.9395 0.0000
2.7876 -0.8149 6.0466
ATOMIC_POSITIONS crystal
Pr 0.2458 0.2555 0.2539
Pr 0.7542 0.7445 0.7461
Zn 0.5000 0.5000 0.5000
Sn 0.0000 0.0000 0.0000
Pd 0.2000 0.3087 0.7993
Pd 0.2549 0.9271 0.5629
Pd 0.3068 0.6919 0.2012
Pd 0.6932 0.3081 0.7988
Pd 0.7451 0.0729 0.4371
Pd 0.8000 0.6913 0.2007
! DFT formation energy   -0.619 eV/atom


! Pr2Zn4SnPd3 GGA-PBE optimized geometry; values from VASP
&SYSTEM
  ibrav = 0, nat = 10, ntyp = 4
/
ATOMIC_SPECIES
Pr 140.91 Pr.upf
Zn 65.41 Zn.upf
Sn 118.71 Sn.upf
Pd 106.42 Pd.upf
CELL_PARAMETERS angstrom
4.1601 0.0000 0.0000
0.0000 4.1601 0.0000
0.0000 0.0000 11.6365
ATOMIC_POSITIONS crystal
Pr 0.0000 0.5000 0.2416
Pr 0.5000 0.0000 0.7584
Zn 0.0000 0.0000 0.0000
Zn 0.0000 0.5000 0.6471
Zn 0.5000 0.0000 0.3529
Zn 0.5000 0.5000 0.0000
Sn 0.0000 0.0000 0.5000
Pd 0.0000 0.5000 0.8651
Pd 0.5000 0.0000 0.1349
Pd 0.5000 0.5000 0.5000
! DFT formation energy   -0.572 eV/atom


! PrZnSnPd3 GGA-PBE optimized geometry; values from VASP
&SYSTEM
  ibrav = 0, nat = 12, ntyp = 4
/
ATOMIC_SPECIES
Pr 140.91 Pr.upf
Zn 65.41 Zn.upf
Sn 118.71 Sn.upf
Pd 106.42 Pd.upf
CELL_PARAMETERS angstrom
2.8887 -8.4431 0.0000
2.8887 8.4431 0.0000
0.0000 0.0000 5.6830
ATOMIC_POSITIONS crystal
Pr 0.1955 0.8045 0.7500
Pr 0.8045 0.1955 0.2500
Zn 0.0977 0.9023 0.2500
Zn 0.9023 0.0977 0.7500
Sn 0.4023 0.5977 0.2500
Sn 0.5977 0.4023 0.7500
Pd 0.2390 0.2390 0.0000
Pd 0.2390 0.2390 0.5000
Pd 0.2461 0.7539 0.2500
Pd 0.7539 0.2461 0.7500
Pd 0.7610 0.7610 0.0000
Pd 0.7610 0.7610 0.5000
! DFT formation energy   -0.450 eV/atom


! PrZnSnPd GGA-PBE optimized geometry; values from VASP
&SYSTEM
  ibrav = 0, nat = 4, ntyp = 4
/
ATOMIC_SPECIES
Pr 140.91 Pr.upf
Zn 65.41 Zn.upf
Sn 118.71 Sn.upf
Pd 106.42 Pd.upf
CELL_PARAMETERS angstrom
0.0000 3.5035 3.5035
3.5035 0.0000 3.5035
3.5035 3.5035 0.0000
ATOMIC_POSITIONS crystal
Pr 0.0000 0.0000 0.0000
Zn 0.2500 0.2500 0.2500
Sn 0.5000 0.5000 0.5000
Pd 0.7500 0.7500 0.7500
! DFT formation energy   -0.595 eV/atom


Question: Number 4 is which compound?
Answer: Pr2TmSn3Pd4


Copy entry 8 word for word.
! Pr2ZnSn4Pd3 GGA-PBE optimized geometry; values from VASP
&SYSTEM
  ibrav = 0, nat = 10, ntyp = 4
/
ATOMIC_SPECIES
Pr 140.91 Pr.upf
Zn 65.41 Zn.upf
Sn 118.71 Sn.upf
Pd 106.42 Pd.upf
CELL_PARAMETERS angstrom
4.4775 0.0000 0.0000
0.0000 4.4775 0.0000
0.0000 0.0000 11.3674
ATOMIC_POSITIONS crystal
Pr 0.0000 0.5000 0.2435
Pr 0.5000 0.0000 0.7565
Zn 0.5000 0.5000 0.0000
Sn 0.0000 0.0000 0.5000
Sn 0.0000 0.5000 0.8651
Sn 0.5000 0.0000 0.1349
Sn 0.5000 0.5000 0.5000
Pd 0.0000 0.0000 0.0000
Pd 0.0000 0.5000 0.6347
Pd 0.5000 0.0000 0.3653
! DFT formation energy   -0.701 eV/atom